1.
BI3F | PBE | optimized geometry Values from VASP.

Geometry as Quantum ESPRESSO input:
```
&SYSTEM
  ibrav = 0, nat = 5, ntyp = 3
/
ATOMIC_SPECIES
I 126.90 I.upf
B 10.81 B.upf
F 19.00 F.upf
CELL_PARAMETERS angstrom
-1.8595 4.3532 -1.6322
-2.3278 -2.3935 -3.7317
-4.0245 -0.6271 2.9126
ATOMIC_POSITIONS crystal
I 0.0000 0.5000 0.0000
I 0.0000 0.0000 0.5000
I 0.5000 0.0000 0.0000
B 0.0000 0.0000 0.0000
F 0.5000 0.5000 0.5000
```

Properties
ΔE_f (raw) ... 0.543 eV/atom



2.
BaCoTc2 | PBE | optimized geometry Values from VASP.

Geometry as Quantum ESPRESSO input:
```
&SYSTEM
  ibrav = 0, nat = 4, ntyp = 3
/
ATOMIC_SPECIES
Ba 137.33 Ba.upf
Co 58.93 Co.upf
Tc 98.00 Tc.upf
CELL_PARAMETERS angstrom
4.2041 -0.0190 0.0327
2.1182 3.6316 0.0327
2.0594 1.1767 6.0677
ATOMIC_POSITIONS crystal
Ba 0.7500 0.7500 0.7500
Co 0.2500 0.2500 0.2500
Tc 0.9402 0.9402 0.1794
Tc 0.5598 0.5598 0.3206
```

Properties
DFT formation energy ... 0.474 eV/atom



3.
K2TaRe | PBE | optimized geometry Values from VASP.

Geometry as Quantum ESPRESSO input:
```
&SYSTEM
  ibrav = 0, nat = 4, ntyp = 3
/
ATOMIC_SPECIES
K 39.10 K.upf
Re 186.21 Re.upf
Ta 180.95 Ta.upf
CELL_PARAMETERS angstrom
-2.8874 -0.5163 1.0664
1.2550 -4.2048 1.3623
1.6569 2.3104 5.6049
ATOMIC_POSITIONS crystal
K 0.0000 0.0000 0.0000
K 0.5000 0.5000 0.0000
Re 0.5000 0.0000 0.5000
Ta 0.0000 0.5000 0.5000
```

Properties
DFT formation energy ... 1.304 eV/atom



4.
Si2CCl | PBE | optimized geometry Values from VASP.

Geometry as Quantum ESPRESSO input:
```
&SYSTEM
  ibrav = 0, nat = 4, ntyp = 3
/
ATOMIC_SPECIES
Si 28.09 Si.upf
C 12.01 C.upf
Cl 35.45 Cl.upf
CELL_PARAMETERS angstrom
0.0000 2.9945 2.9945
2.9945 0.0000 2.9945
2.9945 2.9945 0.0000
ATOMIC_POSITIONS crystal
Si 0.2500 0.2500 0.2500
Si 0.7500 0.7500 0.7500
C 0.0000 0.0000 0.0000
Cl 0.5000 0.5000 0.5000
```

Properties
ΔE_f (raw) ... 1.536 eV/atom



5.
LiPm4Sm3Se8 | PBE | optimized geometry Values from VASP.

Geometry as Quantum ESPRESSO input:
```
&SYSTEM
  ibrav = 0, nat = 16, ntyp = 4
/
ATOMIC_SPECIES
Li 6.94 Li.upf
Pm 145.00 Pm.upf
Sm 150.36 Sm.upf
Se 78.96 Se.upf
CELL_PARAMETERS angstrom
8.3296 0.0000 0.0000
0.0000 8.3344 -0.0025
-4.1648 -4.1608 5.8930
ATOMIC_POSITIONS crystal
Li 0.0000 0.5000 0.0000
Pm 0.5000 0.0000 0.0000
Pm 0.5000 0.0000 0.5000
Pm 0.0000 0.0000 0.0000
Pm 0.0000 0.0000 0.5000
Sm 0.5000 0.5000 0.0000
Sm 0.5000 0.5000 0.5000
Sm 0.0000 0.5000 0.5000
Se 0.2428 0.7415 0.9986
Se 0.2429 0.7415 0.4858
Se 0.2507 0.2521 0.5014
Se 0.7558 0.7415 0.9986
Se 0.2442 0.2585 0.0014
Se 0.7493 0.7479 0.4986
Se 0.7571 0.2585 0.5142
Se 0.7572 0.2585 0.0014
```

Properties
ΔE_f (raw) ... -1.796 eV/atom



6.
BaTa4Co | PBE | optimized geometry Values from VASP.

Geometry as Quantum ESPRESSO input:
```
&SYSTEM
  ibrav = 0, nat = 6, ntyp = 3
/
ATOMIC_SPECIES
Ba 137.33 Ba.upf
Ta 180.95 Ta.upf
Co 58.93 Co.upf
CELL_PARAMETERS angstrom
0.0000 4.0010 4.0010
4.0010 0.0000 4.0010
4.0010 4.0010 0.0000
ATOMIC_POSITIONS crystal
Ba 0.7500 0.7500 0.7500
Ta 0.8747 0.3751 0.3751
Ta 0.3751 0.3751 0.8747
Ta 0.3751 0.8747 0.3751
Ta 0.3751 0.3751 0.3751
Co 0.0000 0.0000 0.0000
```

Properties
DFT formation energy ... 1.015 eV/atom



no.,mass density (g cm⁻³),volume (Å³ per cell)
1,5.43,125.5
2,7.04,92.6
3,8.21,90.1
4,3.20,53.7
5,6.78,409.0
6,11.93,128.1